Entry 1:
DFT (GGA-PBE) results for crystalline PaCu3S4 at its relaxed geometry.

For the volume, the calculation gives 24.08 A^3/atom. The crystal system is cubic. As for the total moment: 0.0 μB/f.u. As for the uncorrected formation energy: -0.465 eV per atom.

The structure belongs to space group P-43m (No. 215); the cell edges are 5.776, 5.776 and 5.776 Å and the angles 90.00°, 90.00° and 90.00°. The inequivalent atoms are Pa at (0.000, 0.000, 0.000), Cu at (0.000, 0.000, 0.500) and S at (0.253, 0.253, 0.253).


Entry 2:
DFT (GGA-PBE) results for crystalline PaCuS2 at its relaxed geometry.

For the volume, the calculation gives 20.13 A^3/atom. Its density of states at the Fermi level is 3.6 states/eV/f.u. The crystal system is tetragonal. As for the total moment: 0.0 μB/f.u. As for the uncorrected formation energy: -1.044 eV per atom. The calculation puts the energy relative to the lowest polymorph listed for this composition at 0 meV per atom.

The structure belongs to space group P4/nmm (No. 129, origin choice 2); the cell edges are 3.873, 3.873 and 10.741 Å and the angles 90.00°, 90.00° and 90.00°. The inequivalent atoms are Pa at (0.250, 0.250, 0.130), Cu at (0.250, 0.750, 0.500), S at (0.250, 0.250, 0.375) and S at (0.250, 0.250, 0.864).


Entry 3:
DFT (GGA-PBE) results for crystalline Pa3Cu3S8 at its relaxed geometry.

For the volume, the calculation gives 22.36 A^3/atom. Its density of states at the Fermi level is 11.2 states/eV/f.u. The crystal system is trigonal. As for the total moment: 2.0 μB/f.u. As for the uncorrected formation energy: -1.067 eV per atom.

The structure belongs to space group R-3m (No. 166, hexagonal axes); the cell edges are 7.8975, 7.8975 and 17.3870 Å and the angles 90.00°, 90.00° and 120.00°. The inequivalent atoms are Pa at (0.0000, 0.5000, 0.0000), Cu at (0.0000, 0.0000, 0.1140), Cu at (0.0000, 0.0000, 0.5000), S at (0.0000, 0.0000, 0.2477) and S at (0.0044, 0.5022, 0.2506).


Entry 4:
DFT (GGA-PBE) results for crystalline Pa3Cu5S12 at its relaxed geometry.

For the volume, the calculation gives 19.56 A^3/atom. Its density of states at the Fermi level is 11.3 states/eV/f.u. The crystal system is cubic. As for the total moment: 0.0 μB/f.u. As for the uncorrected formation energy: -0.875 eV per atom.

The structure belongs to space group Ia-3d (No. 230); the cell edges are 14.627, 14.627 and 14.627 Å and the angles 90.00°, 90.00° and 90.00°. The inequivalent atoms are Pa at (0.000, 0.250, 0.125), Cu at (0.000, 0.000, 0.000), Cu at (0.000, 0.250, 0.375) and S at (0.025, 0.063, 0.651).


Entry 5:
DFT (GGA-PBE) results for crystalline Pa2Cu3S6 at its relaxed geometry.

For the volume, the calculation gives 26.30 A^3/atom. Its density of states at the Fermi level is 5.6 states/eV/f.u. The crystal system is monoclinic. As for the total moment: 0.0 μB/f.u. As for the uncorrected formation energy: -0.953 eV per atom.

The structure belongs to space group C2/c (No. 15); the cell edges are 12.309, 7.101 and 13.871 Å and the angles 90.00°, 107.33° and 90.00°. The inequivalent atoms are Pa at (0.079, 0.250, 0.485), Cu at (0.000, 0.044, 0.250), Cu at (0.103, 0.353, 0.250), S at (0.034, 0.086, 0.898), S at (0.111, 0.441, 0.102) and S at (0.225, 0.396, 0.398).


Entry 6:
DFT (GGA-PBE) results for crystalline PaCuS3 at its relaxed geometry.

For the volume, the calculation gives 23.21 A^3/atom. The crystal system is monoclinic. As for the total moment: 0.0 μB/f.u. As for the uncorrected formation energy: -1.072 eV per atom. The calculation puts the energy relative to the lowest polymorph listed for this composition at 79 meV per atom.

The structure belongs to space group P2_1/c (No. 14); the cell edges are 7.703, 6.977 and 9.849 Å and the angles 90.00°, 118.71° and 90.00°. The inequivalent atoms are Pa at (0.248, 0.169, 0.132), Cu at (0.446, 0.675, 0.505), S at (0.134, 0.668, 0.480), S at (0.276, 0.136, 0.411) and S at (0.395, 0.532, 0.270).


Entry 7:
DFT (GGA-PBE) results for crystalline PaCuS4 at its relaxed geometry.

For the volume, the calculation gives 26.04 A^3/atom. Its density of states at the Fermi level is 3.3 states/eV/f.u. The crystal system is orthorhombic. As for the total moment: 0.0 μB/f.u. As for the uncorrected formation energy: -0.693 eV per atom.

The structure belongs to space group Cmmm (No. 65); the cell edges are 8.180, 10.213 and 3.740 Å and the angles 90.00°, 90.00° and 90.00°. The inequivalent atoms are Pa at (0.000, 0.000, 0.000), Cu at (0.000, 0.500, 0.500), S at (0.000, 0.174, 0.500) and S at (0.163, 0.500, 0.000).


Entry 8:
DFT (GGA-PBE) results for crystalline Pa2Cu2S7 at its relaxed geometry.

For the volume, the calculation gives 26.45 A^3/atom. Its density of states at the Fermi level is 5.1 states/eV/f.u. The crystal system is orthorhombic. As for the total moment: 0.3 μB/f.u. As for the uncorrected formation energy: -0.908 eV per atom.

The structure belongs to space group Imm2 (No. 44); the cell edges are 4.031, 15.608 and 9.248 Å and the angles 90.00°, 90.00° and 90.00°. The inequivalent atoms are Pa at (0.000, 0.000, 0.000), Pa at (0.000, 0.500, 0.010), Cu at (0.000, 0.141, 0.381), S at (0.000, 0.000, 0.304), S at (0.000, 0.067, 0.700), S at (0.000, 0.329, 0.963) and S at (0.000, 0.394, 0.516).